A geometry-optimized KZnCrH6 structure. Source: Alexandria, functional PBE.

Properties
uncorrected energy = -3.601 eV/atom

Cell: 4.7496 4.7496 5.2653 Å, 90.00 90.00 120.00°
Space group P-6m2 (No. 187)
Asymmetric unit:
K1 0.0000 0.0000 0.0000
Zn1 0.6667 0.3333 0.5000
Cr1 0.3333 0.6667 0.5000
H1 0.0189 0.5094 0.2880